VASP calculation (PBE) on an optimized crystal structure of Sc6CdCu5.

Lattice parameters (Å, degrees): 4.700 6.590 7.406 90.00 108.47 90.00
Sites, in units of the cell vectors:
Sc1 0.172 0.744 0.345
Sc2 0.500 0.264 0.000
Sc3 0.500 0.736 0.000
Sc4 0.828 0.744 0.655
Sc5 0.828 0.256 0.655
Sc6 0.172 0.256 0.345
Cu1 0.663 0.500 0.329
Cu2 0.660 0.000 0.321
Cu3 0.337 0.500 0.671
Cu4 0.340 0.000 0.679
Cu5 0.000 0.500 0.000
Cd1 0.000 0.000 0.000

The calculation puts the spin magnetization at 0.000 μB per formula unit. Its total energy is -62.45 eV for the cell shown. Its energy of formation from the pure elements is -0.256 eV per atom.